[1]
Below is DyEr3Sb3 after structural relaxation, with properties calculated at the GGA-PBE level.

* crystal system: cubic
* energy above the lowest structure with this stoichiometry: 0.0000 eV/atom

Lattice parameters (Å, degrees): 9.133 9.133 9.133 90.00 90.00 90.00
Space group P2_13 (No. 198)
Inequivalent atoms, fractional coordinates:
Dy 0.072 0.428 0.572 x4
Er 0.074 0.574 0.926 x4
Er 0.177 0.823 0.323 x4
Er 0.178 0.178 0.178 x4
Sb 0.001 0.252 0.876 x12


[2]
Below is DyErSb after structural relaxation, with properties calculated at the GGA-PBE level.

* crystal system: trigonal
* calculated total energy: -4.846 eV/atom

Lattice parameters (Å, degrees): 5.4062 5.4062 22.2856 90.00 90.00 120.00
Space group R-3m (No. 166, hexagonal axes)
Inequivalent atoms, fractional coordinates:
Dy 0.0000 0.0000 0.1457 x6
Er 0.0000 0.0000 0.4193 x6
Sb 0.0000 0.0000 0.2788 x6


[3]
Below is Dy3ErSb2 after structural relaxation, with properties calculated at the GGA-PBE level.

* crystal system: monoclinic
* energy above the lowest structure with this stoichiometry: 0.1309 eV/atom

Lattice parameters (Å, degrees): 18.069 4.298 9.731 90.00 114.32 90.00
Space group C2/m (No. 12)
Inequivalent atoms, fractional coordinates:
Dy 0.055 0.000 0.176 x4
Dy 0.145 0.500 0.977 x4
Dy 0.188 0.500 0.393 x4
Er 0.109 0.000 0.613 x4
Sb 0.007 0.500 0.345 x4
Sb 0.249 0.500 0.777 x4


[4]
Below is Dy2ErSb3 after structural relaxation, with properties calculated at the GGA-PBE level.

* crystal system: orthorhombic
* calculated total energy: -5.475 eV/atom

Lattice parameters (Å, degrees): 4.375 6.181 13.118 90.00 90.00 90.00
Space group Immm (No. 71)
Inequivalent atoms, fractional coordinates:
Dy 0.000 0.000 0.167 x4
Er 0.000 0.000 0.500 x2
Sb 0.000 0.500 0.165 x4
Sb 0.000 0.500 0.500 x2


[5]
Below is Dy8ErSb6 after structural relaxation, with properties calculated at the GGA-PBE level.

* crystal system: trigonal
* calculated total energy: -5.154 eV/atom

Lattice parameters (Å, degrees): 7.9332 7.9332 25.1766 90.00 90.00 120.00
Space group R-3 (No. 148, hexagonal axes)
Inequivalent atoms, fractional coordinates:
Dy 0.0000 0.0000 0.1667 x6
Dy 0.0012 0.3326 0.7115 x18
Er 0.0000 0.0000 0.5000 x3
Sb 0.0005 0.3318 0.5665 x18


[6]
Below is Dy2ErSb after structural relaxation, with properties calculated at the GGA-PBE level.

* crystal system: orthorhombic
* energy above the lowest structure with this stoichiometry: 0.0000 eV/atom

Lattice parameters (Å, degrees): 4.094 12.177 9.523 90.00 90.00 90.00
Space group Cmcm (No. 63)
Inequivalent atoms, fractional coordinates:
Dy 0.000 0.136 0.047 x8
Er 0.000 0.440 0.250 x4
Sb 0.000 0.258 0.750 x4